This record from the Alexandria database describes crystalline Pm4Nd3Tl at its relaxed geometry. The functional is GGA-PBE.

a = 6.3245 Å, b = 7.2610 Å, c = 11.5072 Å
α = 90.00°, β = 90.00°, γ = 90.00°
Positions (direct):
Pm: 0.9572 0.6261 0.0000
Pm: 0.4999 0.3695 0.0000
Pm: 0.1402 0.3691 0.2316
Pm: 0.6402 0.6309 0.2684
Pm: 0.9999 0.6305 0.5000
Pm: 0.4572 0.3739 0.5000
Pm: 0.6402 0.6309 0.7316
Pm: 0.1402 0.3691 0.7684
Nd: 0.4899 0.8719 0.0000
Nd: 0.1551 0.8838 0.2425
Nd: 0.6551 0.1162 0.2575
Nd: 0.9899 0.1281 0.5000
Nd: 0.6551 0.1162 0.7425
Nd: 0.1551 0.8838 0.7575
Tl: 0.9778 0.1206 0.0000
Tl: 0.4778 0.8794 0.5000

Summary:
Final energy   -4.53 eV/atom
SG   Pmn2_1 (31)
Total moment   0.0 μB per cell
Mass density   7649 kg/m³
DOS(E_F)   19.20 states/eV/cell
Calculated volume   33.0 A^3/atom